No. 1
The following is a DFT calculation (SCAN) of a crystal of In7Pt3 relaxed with PBEsol.

Calculated values
VASP energy: -44.95 eV/atom
crystal system: cubic
formation energy from the elements: -0.526 eV per atom

Cell: 9.430 9.430 9.430 Å, 90.00 90.00 90.00°
Space group Im-3m (No. 229)
Unique sites:
In 0.000 0.250 0.500 [12 per cell]
In 0.163 0.163 0.163 [16 per cell]
Pt 0.000 0.000 0.346 [12 per cell]

No. 2
The following is a DFT calculation (SCAN) of a crystal of Mn2MoPt relaxed with PBEsol.

Calculated values
VASP energy: -35.54 eV/atom
crystal system: orthorhombic
formation energy from the elements: -0.139 eV per atom

Cell: 5.381 7.281 2.647 Å, 90.00 90.00 90.00°
Space group Cmmm (No. 65)
Unique sites:
Mn 0.250 0.250 0.000 [4 per cell]
Mo 0.000 0.000 0.500 [2 per cell]
Pt 0.000 0.500 0.500 [2 per cell]

No. 3
The following is a DFT calculation (SCAN) of a crystal of BaZr2Br relaxed with PBEsol.

Calculated values
distance to the lowest polymorph of the same formula: 200.1 meV/atom
VASP energy: -30.15 eV/atom
crystal system: monoclinic

Cell: 10.526 3.324 6.721 Å, 90.00 102.27 90.00°
Space group Cm (No. 8)
Unique sites:
Ba 0.000 0.000 0.000 [2 per cell]
Zr 0.044 0.500 0.486 [2 per cell]
Zr 0.306 0.500 0.421 [2 per cell]
Br 0.233 0.000 0.738 [2 per cell]